(1)
This record from the Alexandria database describes YInTe2 after structural relaxation. The functional is PBE-GGA.

Cell: 7.1093 7.1093 7.1093 Å, 107.78 107.78 112.91°
Last column: nearest neighbours and their distance in Å.
Atoms (fractional coordinates):
Y  0.2500  0.7500  0.5000  4 Te 3.00
Y  0.7500  0.2500  0.5000  4 Te 3.00
In  0.2500  0.2500  0.0000  8 Te 3.62, 2 In 3.93
In  0.7500  0.7500  0.0000  8 Te 3.62, 2 In 3.93
Te  0.1911  0.6912  0.8823  2 Y 3.00
Te  0.3088  0.1911  0.5000  2 Y 3.00
Te  0.6912  0.8088  0.5000  2 Y 3.00
Te  0.8088  0.3088  0.1177  2 Y 3.00

Results
size of the total moment	0.00	Bohr magnetons per cell
formation energy from raw total energies	-0.7773	eV per atom
SG	I4/mcm, No. 140



(2)
This record from the Alexandria database describes Y4InTe after structural relaxation. The functional is PBE-GGA.

Cell: 6.3496 6.3496 6.3496 Å, 60.00 60.00 60.00°
Last column: nearest neighbours and their distance in Å.
Atoms (fractional coordinates):
Y  0.1240  0.1240  0.1240  6 Y 3.15-3.20
Y  0.1240  0.1240  0.6279  6 Y 3.15-3.20
Y  0.1240  0.6279  0.1240  6 Y 3.15-3.20
Y  0.6279  0.1240  0.1240  6 Y 3.15-3.20
In  0.7500  0.7500  0.7500  12 Y 3.72, 4 Te 3.89
Te  0.5000  0.5000  0.5000  12 Y 3.73, 4 In 3.89

Results
size of the total moment	0.00	Bohr magnetons per cell
formation energy from raw total energies	0.0463	eV per atom
SG	F-43m, No. 216



(3)
This record from the Alexandria database describes YIn3Te after structural relaxation. The functional is PBE-GGA.

Cell: 5.7152 5.7152 5.7152 Å, 90.00 90.00 90.00°
Last column: nearest neighbours and their distance in Å.
Atoms (fractional coordinates):
Y  0.0000  0.0000  0.0000  12 In 4.04
In  0.0000  0.5000  0.5000  2 Te 2.86
In  0.5000  0.0000  0.5000  2 Te 2.86
In  0.5000  0.5000  0.0000  2 Te 2.86
Te  0.5000  0.5000  0.5000  6 In 2.86

Results
size of the total moment	0.00	Bohr magnetons per cell
formation energy from raw total energies	0.5111	eV per atom
SG	Pm-3m, No. 221



(4)
This record from the Alexandria database describes YInTe after structural relaxation. The functional is PBE-GGA.

Cell: 5.1306 5.1306 4.1930 Å, 90.00 90.00 120.00°
Last column: nearest neighbours and their distance in Å.
Atoms (fractional coordinates):
Y  0.0000  0.0000  0.0000  3 Te 2.96
In  0.6667  0.3333  0.5000  6 Y 3.63, 6 Te 3.63
Te  0.3333  0.6667  0.0000  3 Y 2.96

Results
size of the total moment	0.00	Bohr magnetons per cell
formation energy from raw total energies	-0.4576	eV per atom
SG	P-6m2, No. 187



(5)
This record from the Alexandria database describes YInTe2 after structural relaxation. The functional is PBE-GGA.

Cell: 6.4324 4.3632 9.6791 Å, 90.00 90.11 90.00°
Last column: nearest neighbours and their distance in Å.
Atoms (fractional coordinates):
Y  0.2504  0.2500  0.1161  6 Te 3.03-3.22
Y  0.7496  0.7500  0.8839  6 Te 3.03-3.22
In  0.2495  0.2500  0.6060  6 Te 3.26-3.46
In  0.7505  0.7500  0.3940  6 Te 3.26-3.46
Te  0.2497  0.7500  0.8841  4 Y 3.13-3.22, 2 In 3.46
Te  0.2513  0.7500  0.3336  2 Y 3.03, 2 In 3.26-3.27
Te  0.7487  0.2500  0.6664  2 Y 3.03, 2 In 3.26-3.27
Te  0.7503  0.2500  0.1159  4 Y 3.13-3.22, 2 In 3.46

Results
size of the total moment	0.00	Bohr magnetons per cell
formation energy from raw total energies	-0.9445	eV per atom
SG	P2_1/m, No. 11



(6)
This record from the Alexandria database describes YInTe2 after structural relaxation. The functional is PBE-GGA.

Cell: 8.0593 8.0593 16.2991 Å, 102.08 102.08 85.48°
Last column: nearest neighbours and their distance in Å.
Atoms (fractional coordinates):
Y  0.0089  0.9403  0.8758  5 Te 2.96-3.19
Y  0.0597  0.9911  0.6242  5 Te 2.96-3.19
Y  0.1447  0.4334  0.8245  6 Te 3.11-3.29, 2 In 3.32-3.34
Y  0.4334  0.1447  0.3245  6 Te 3.11-3.29, 2 In 3.32-3.34
Y  0.5666  0.8553  0.6755  6 Te 3.11-3.29, 2 In 3.32-3.34
Y  0.8553  0.5666  0.1755  6 Te 3.11-3.29, 2 In 3.32-3.34
Y  0.9403  0.0089  0.3758  5 Te 2.96-3.19
Y  0.9911  0.0597  0.1242  5 Te 2.96-3.19
In  0.0265  0.5755  0.3803  2 Te 2.91-3.14
In  0.4245  0.9735  0.1197  2 Te 2.91-3.14
In  0.4468  0.4740  0.1044  3 Te 3.08-3.26, 1 Y 3.34
In  0.4740  0.4468  0.6044  3 Te 3.08-3.26, 1 Y 3.34
In  0.5260  0.5532  0.3956  3 Te 3.08-3.26, 1 Y 3.34
In  0.5532  0.5260  0.8956  3 Te 3.08-3.26, 1 Y 3.34
In  0.5755  0.0265  0.8803  2 Te 2.91-3.14
In  0.9735  0.4245  0.6197  2 Te 2.91-3.14
Te  0.1505  0.8495  0.2500  4 Y 2.96-3.29
Te  0.1642  0.7106  0.0032  2 Y 3.08-3.26, 2 In 3.14-3.26
Te  0.1912  0.2931  0.4559  2 In 2.91-3.08, 2 Y 3.07-3.18
Te  0.2059  0.3750  0.2114  3 Y 3.10-3.12, 2 In 3.11-3.42
Te  0.2488  0.7512  0.7500  4 Y 3.19-3.29
Te  0.2894  0.8358  0.4968  2 Y 3.08-3.26, 2 In 3.14-3.26
Te  0.2931  0.1912  0.9559  2 In 2.91-3.08, 2 Y 3.07-3.18
Te  0.3750  0.2059  0.7114  3 Y 3.10-3.12, 2 In 3.11-3.42
Te  0.6250  0.7941  0.2886  3 Y 3.10-3.12, 2 In 3.11-3.42
Te  0.7069  0.8088  0.0441  2 In 2.91-3.08, 2 Y 3.07-3.18
Te  0.7106  0.1642  0.5032  2 Y 3.08-3.26, 2 In 3.14-3.26
Te  0.7512  0.2488  0.2500  4 Y 3.19-3.29
Te  0.7941  0.6250  0.7886  3 Y 3.10-3.12, 2 In 3.11-3.42
Te  0.8088  0.7069  0.5441  2 In 2.91-3.08, 2 Y 3.07-3.18
Te  0.8358  0.2894  0.9968  2 Y 3.08-3.26, 2 In 3.14-3.26
Te  0.8495  0.1505  0.7500  4 Y 2.96-3.29

Results
size of the total moment	0.00	Bohr magnetons per cell
formation energy from raw total energies	-0.8725	eV per atom
SG	C2/c, No. 15



(7)
This record from the Alexandria database describes Y4InTe after structural relaxation. The functional is PBE-GGA.

Cell: 8.3579 8.3579 6.7948 Å, 108.96 108.96 111.09°
Last column: nearest neighbours and their distance in Å.
Atoms (fractional coordinates):
Y  0.0541  0.6748  0.8613  2 In 3.16-3.22, 2 Te 3.16-3.46, 1 Y 3.47
Y  0.2478  0.3777  0.7256  2 In 3.10-3.27, 2 Te 3.11-3.12, 2 Y 3.36-3.47
Y  0.3252  0.9459  0.6387  2 In 3.16-3.22, 2 Te 3.16-3.46, 1 Y 3.47
Y  0.3777  0.2478  0.2256  2 In 3.10-3.27, 2 Te 3.11-3.12, 2 Y 3.36-3.47
Y  0.6223  0.7522  0.7744  2 In 3.10-3.27, 2 Te 3.11-3.12, 2 Y 3.36-3.47
Y  0.6748  0.0541  0.3613  2 In 3.16-3.22, 2 Te 3.16-3.46, 1 Y 3.47
Y  0.7522  0.6223  0.2744  2 In 3.10-3.27, 2 Te 3.11-3.12, 2 Y 3.36-3.47
Y  0.9459  0.3252  0.1387  2 In 3.16-3.22, 2 Te 3.16-3.46, 1 Y 3.47
In  0.3615  0.6385  0.2500  8 Y 3.10-3.27
In  0.6385  0.3615  0.7500  8 Y 3.10-3.27
Te  0.0238  0.9762  0.2500  8 Y 3.11-3.46, 2 Te 3.46
Te  0.9762  0.0238  0.7500  8 Y 3.11-3.46, 2 Te 3.46

Results
size of the total moment	0.00	Bohr magnetons per cell
formation energy from raw total energies	-0.5009	eV per atom
SG	C2/c, No. 15



(8)
This record from the Alexandria database describes Y3In2Te6 after structural relaxation. The functional is PBE-GGA.

Cell: 7.5933 7.5933 8.1593 Å, 98.88 98.88 119.97°
Last column: nearest neighbours and their distance in Å.
Atoms (fractional coordinates):
Y  0.0000  0.0000  0.0000  6 Te 3.07-3.11
Y  0.3330  0.6670  0.0000  6 Te 3.07-3.11
Y  0.6670  0.3330  0.0000  6 Te 3.07-3.11
In  0.1671  0.8329  0.5000  6 Te 3.27-3.29
In  0.8329  0.1671  0.5000  6 Te 3.27-3.29
Te  0.0727  0.4095  0.2297  3 Y 3.07-3.11, 2 In 3.27-3.28
Te  0.2543  0.2543  0.7719  3 Y 3.07-3.10, 2 In 3.29
Te  0.4095  0.0727  0.2297  3 Y 3.07-3.11, 2 In 3.27-3.28
Te  0.5905  0.9273  0.7703  3 Y 3.07-3.11, 2 In 3.27-3.28
Te  0.7457  0.7457  0.2281  3 Y 3.07-3.10, 2 In 3.29
Te  0.9273  0.5905  0.7703  3 Y 3.07-3.11, 2 In 3.27-3.28

Results
size of the total moment	0.00	Bohr magnetons per cell
formation energy from raw total energies	-1.0362	eV per atom
SG	C2/m, No. 12



(9)
This record from the Alexandria database describes Y4InTe2 after structural relaxation. The functional is PBE-GGA.

Cell: 7.3186 7.3186 14.5735 Å, 90.00 90.00 146.44°
Last column: nearest neighbours and their distance in Å.
Atoms (fractional coordinates):
Y  0.0000  0.0000  0.0000  4 Te 3.02
Y  0.0000  0.0000  0.5000  4 Te 3.02
Y  0.2797  0.7203  0.6319  3 Te 3.00-3.05, 2 In 3.20
Y  0.2797  0.7203  0.8681  3 Te 3.00-3.05, 2 In 3.20
Y  0.4382  0.5618  0.2500  2 Te 2.99, 2 In 3.11
Y  0.5618  0.4382  0.7500  2 Te 2.99, 2 In 3.11
Y  0.7203  0.2797  0.1319  3 Te 3.00-3.05, 2 In 3.20
Y  0.7203  0.2797  0.3681  3 Te 3.00-3.05, 2 In 3.20
In  0.1007  0.8993  0.2500  6 Y 3.11-3.20
In  0.8993  0.1007  0.7500  6 Y 3.11-3.20
Te  0.3587  0.6413  0.0598  6 Y 2.99-3.05
Te  0.3587  0.6413  0.4402  6 Y 2.99-3.05
Te  0.6413  0.3587  0.5598  6 Y 2.99-3.05
Te  0.6413  0.3587  0.9402  6 Y 2.99-3.05

Results
size of the total moment	0.00	Bohr magnetons per cell
formation energy from raw total energies	-0.8515	eV per atom
SG	Cmcm, No. 63



(10)
This record from the Alexandria database describes YInTe2 after structural relaxation. The functional is PBE-GGA.

Cell: 6.3947 6.3947 6.3947 Å, 138.48 138.48 60.16°
Last column: nearest neighbours and their distance in Å.
Atoms (fractional coordinates):
Y  0.0000  0.0000  0.0000  8 Te 3.21-3.58, 4 In 3.58
In  0.2500  0.7500  0.5000  8 Te 3.21-3.58, 4 Y 3.58
Te  0.5000  0.5000  0.0000  4 Y 3.21, 4 In 3.58, 4 Te 3.58
Te  0.7500  0.2500  0.5000  4 In 3.21, 4 Te 3.58, 4 Y 3.58

Results
size of the total moment	0.00	Bohr magnetons per cell
formation energy from raw total energies	-0.6642	eV per atom
SG	I-4m2, No. 119



(11)
This record from the Alexandria database describes YInTe2 after structural relaxation. The functional is PBE-GGA.

Cell: 12.5215 12.5215 5.8495 Å, 90.00 90.00 160.51°
Last column: nearest neighbours and their distance in Å.
Atoms (fractional coordinates):
Y  0.0640  0.9360  0.7500  4 Te 2.93-3.05
Y  0.9360  0.0640  0.2500  4 Te 2.93-3.05
In  0.3145  0.6855  0.7500  5 Te 3.24-3.61
In  0.6855  0.3145  0.2500  5 Te 3.24-3.61
Te  0.0594  0.9406  0.2500  3 Y 2.93-3.05
Te  0.1831  0.8169  0.7500  1 Y 2.94, 1 In 3.24
Te  0.8169  0.1831  0.2500  1 Y 2.94, 1 In 3.24
Te  0.9406  0.0594  0.7500  3 Y 2.93-3.05

Results
size of the total moment	0.49	Bohr magnetons per cell
formation energy from raw total energies	-0.4945	eV per atom
SG	Cmcm, No. 63



(12)
This record from the Alexandria database describes Y6InTe5 after structural relaxation. The functional is PBE-GGA.

Cell: 7.5835 7.5835 7.5850 Å, 99.55 99.55 119.85°
Last column: nearest neighbours and their distance in Å.
Atoms (fractional coordinates):
Y  0.0798  0.4032  0.7422  1 In 3.00, 5 Te 3.10-3.15
Y  0.2397  0.2397  0.2541  1 In 3.01, 5 Te 3.11-3.19
Y  0.4032  0.0798  0.7422  1 In 3.00, 5 Te 3.10-3.15
Y  0.5968  0.9202  0.2578  1 In 3.00, 5 Te 3.10-3.15
Y  0.7603  0.7603  0.7459  1 In 3.01, 5 Te 3.11-3.19
Y  0.9202  0.5968  0.2578  1 In 3.00, 5 Te 3.10-3.15
In  0.0000  0.0000  0.5000  6 Y 3.00-3.01
Te  0.1714  0.8286  0.0000  6 Y 3.10-3.15
Te  0.3346  0.6654  0.5000  6 Y 3.10-3.11
Te  0.5000  0.5000  0.0000  6 Y 3.11-3.19
Te  0.6654  0.3346  0.5000  6 Y 3.10-3.11
Te  0.8286  0.1714  0.0000  6 Y 3.10-3.15

Results
size of the total moment	0.00	Bohr magnetons per cell
formation energy from raw total energies	-1.2007	eV per atom
SG	C2/m, No. 12



Number 1: electronic total energy -4.65 eV per atom. Number 2: electronic total energy -5.24 eV per atom. Number 3: electronic total energy -3.05 eV per atom. Number 4: electronic total energy -4.57 eV per atom. Number 5: electronic total energy -4.82 eV per atom. Number 6: electronic total energy -4.74 eV per atom. Number 7: electronic total energy -5.79 eV per atom. Number 8: electronic total energy -5.01 eV per atom. Number 9: electronic total energy -5.83 eV per atom. Number 10: electronic total energy -4.54 eV per atom. Number 11: electronic total energy -4.37 eV per atom. Number 12: electronic total energy -5.97 eV per atom.